Here is crystalline Tb2ZnBi at its relaxed geometry from the Alexandria database. Energies are from PBE-GGA.

For the total energy, the calculation gives -64.18 eV/cell. For the relative energy among the computed polymorphs, the calculation gives 25.5 kJ/mol of formula units. The value obtained for the formation energy is -1.63 eV per formula unit. The magnetic moment comes out at 0.0 Bohr magnetons per cell.

Lattice parameters (Å, degrees): 7.5032 7.5032 7.5032 90.00 90.00 90.00
Last column: nearest neighbours and their distance in Å.
Space group Fm-3m (No. 225)
One atom of each set of equivalent atoms:
Tb 0.2500 0.2500 0.2500 (multiplicity 8)  4 Bi 3.25, 4 Zn 3.25
Zn 0.0000 0.0000 0.0000 (multiplicity 4)  8 Tb 3.25
Bi 0.0000 0.0000 0.5000 (multiplicity 4)  8 Tb 3.25


Here is crystalline TbZn2Bi at its relaxed geometry from the Alexandria database. Energies are from PBE-GGA.

For the total energy, the calculation gives -12.32 eV/cell. The value obtained for the formation energy is -1.27 eV per formula unit. The magnetic moment comes out at 0.0 Bohr magnetons per cell.

Lattice parameters (Å, degrees): 4.4678 4.4678 4.5617 90.00 90.00 90.00
Last column: nearest neighbours and their distance in Å.
Space group P4/mmm (No. 123)
One atom of each set of equivalent atoms:
Tb 0.0000 0.0000 0.0000 (multiplicity 1)  4 Bi 3.16, 8 Zn 3.19
Zn 0.0000 0.5000 0.5000 (multiplicity 2)  4 Zn 3.16, 4 Tb 3.19, 4 Bi 3.19
Bi 0.5000 0.5000 0.0000 (multiplicity 1)  4 Tb 3.16, 8 Zn 3.19


Here is crystalline Tb5ZnBi4 at its relaxed geometry from the Alexandria database. Energies are from PBE-GGA.

For the total energy, the calculation gives -93.02 eV/cell. The value obtained for the formation energy is -6.56 eV per formula unit. The magnetic moment comes out at 0.0 Bohr magnetons per cell.

Lattice parameters (Å, degrees): 9.9332 9.9332 6.2863 90.00 90.00 90.00
Last column: nearest neighbours and their distance in Å.
Space group I4 (No. 79)
One atom of each set of equivalent atoms:
Tb 0.0000 0.0000 0.0000 (multiplicity 2)  4 Bi 3.14, 2 Zn 3.14
Tb 0.1028 0.2977 0.5009 (multiplicity 8)  5 Bi 3.12-3.18, 1 Zn 3.13
Zn 0.0000 0.0000 0.4999 (multiplicity 2)  6 Tb 3.13-3.14
Bi 0.0970 0.3008 0.0010 (multiplicity 8)  6 Tb 3.12-3.18


Here is crystalline Tb3ZnBi at its relaxed geometry from the Alexandria database. Energies are from PBE-GGA.

For the total energy, the calculation gives -41.62 eV/cell. The value obtained for the formation energy is -1.77 eV per formula unit. The magnetic moment comes out at 0.0 Bohr magnetons per cell.

Lattice parameters (Å, degrees): 4.2435 7.1150 9.7595 90.00 90.00 90.00
Last column: nearest neighbours and their distance in Å.
Space group Pmmn (No. 59, origin choice 2)
One atom of each set of equivalent atoms:
Tb 0.2500 0.0141 0.1641 (multiplicity 4)  3 Zn 2.91-3.04, 2 Bi 3.26
Tb 0.2500 0.2500 0.5916 (multiplicity 2)  1 Zn 3.06, 2 Bi 3.17
Zn 0.2500 0.2500 0.9049 (multiplicity 2)  7 Tb 2.91-3.06
Bi 0.2500 0.7500 0.6492 (multiplicity 2)  6 Tb 3.17-3.26